Entry 1:
Entry from Alexandria: a geometry-optimized Rb3Li structure (PBE).

Results
energy above the lowest structure with this stoichiometry	15	meV per atom

Cell lengths 6.5562, 6.5562, 6.5562 Å; angles 90.00, 90.00, 90.00 degrees
Last column: nearest neighbours and their distance in Å.
Space group Pm-3m (No. 221)
One atom of each set of equivalent atoms:
Rb1 0.0000 0.0000 0.5000 x3  4 Li 4.64, 8 Rb 4.64
Li1 0.5000 0.5000 0.5000 x1  12 Rb 4.64

Entry 2:
Entry from Alexandria: a geometry-optimized CsDyTl2Br6 structure (PBE).

Results
formation energy (no corrections)	-14.7	eV/f.u.

Cell lengths 8.2992, 8.3092, 8.6882 Å; angles 61.48, 61.49, 60.05 degrees
Last column: nearest neighbours and their distance in Å.
Space group P1 (No. 1)
One atom of each set of equivalent atoms:
Cs1 0.0000 0.0000 0.0000 x1  6 Br 3.55-3.78
Dy1 0.5151 0.5153 0.4540 x1  6 Br 2.81-2.85
Tl1 0.2002 0.1996 0.3997 x1  6 Br 3.28-3.45
Tl2 0.7147 0.7149 0.8551 x1  6 Br 3.37-3.41
Br1 0.1716 0.7398 0.6632 x1  1 Dy 2.81
Br2 0.3432 0.5748 0.2070 x1  1 Dy 2.84
Br3 0.4253 0.1716 0.6630 x1  1 Dy 2.81
Br4 0.5748 0.8742 0.2066 x1  1 Dy 2.85
Br5 0.7406 0.4252 0.6627 x1  1 Dy 2.81
Br6 0.8742 0.3443 0.2064 x1  1 Dy 2.85

Entry 3:
Entry from Alexandria: a geometry-optimized BaCuIr4 structure (PBE).

Results
energy	-6.49	eV per atom

Cell lengths 7.6472, 7.6472, 7.6472 Å; angles 90.00, 90.00, 90.00 degrees
Last column: nearest neighbours and their distance in Å.
Space group F-43m (No. 216)
One atom of each set of equivalent atoms:
Ba1 0.0000 0.0000 0.0000 x4  12 Ir 3.17, 4 Cu 3.31
Cu1 0.2500 0.2500 0.7500 x4  12 Ir 3.17, 4 Ba 3.31
Ir1 0.1244 0.1244 0.3756 x16  6 Ir 2.69-2.72